Compound: ReSi2Te
Source: the Alexandria database
Functional: PBE-GGA
Structure: relaxed

The structure in CIF format:
```
data_ReSi2Te
_symmetry_space_group_name_H-M 'P 1'
_symmetry_Int_Tables_number 1
_symmetry_space_group_name_Hall 'P 1'
_cell_length_a 9.082
_cell_length_b 9.082
_cell_length_c 9.082
_cell_angle_alpha 19.63
_cell_angle_beta 19.63
_cell_angle_gamma 19.63
loop_
_atom_site_label
_atom_site_type_symbol
_atom_site_fract_x
_atom_site_fract_y
_atom_site_fract_z
Re1 Re 0.000 0.000 0.000
Si1 Si 0.264 0.264 0.264
Si2 Si 0.527 0.527 0.527
Te1 Te 0.744 0.744 0.744
```

Calculated values
Uncorrected formation energy, meV/atom: 469
Space-group type: R3m
E_tot, eV per atom: -6.14

---

Compound: ReSi2Te
Source: the Alexandria database
Functional: PBE-GGA
Structure: relaxed

The structure in CIF format:
```
data_ReSi2Te
_symmetry_space_group_name_H-M 'P 1'
_symmetry_Int_Tables_number 1
_symmetry_space_group_name_Hall 'P 1'
_cell_length_a 4.587
_cell_length_b 3.200
_cell_length_c 4.756
_cell_angle_alpha 90.00
_cell_angle_beta 106.52
_cell_angle_gamma 90.00
loop_
_atom_site_label
_atom_site_type_symbol
_atom_site_fract_x
_atom_site_fract_y
_atom_site_fract_z
Re1 Re 0.000 0.000 0.000
Si1 Si 0.500 0.000 0.500
Si2 Si 0.500 0.500 0.000
Te1 Te 0.000 0.500 0.500
```

Calculated values
Uncorrected formation energy, meV/atom: 772
Space-group type: P2/m
E_tot, eV per atom: -5.84

---

Compound: ReSiTe2
Source: the Alexandria database
Functional: PBE-GGA
Structure: relaxed

The structure in CIF format:
```
data_ReSiTe2
_symmetry_space_group_name_H-M 'P 1'
_symmetry_Int_Tables_number 1
_symmetry_space_group_name_Hall 'P 1'
_cell_length_a 3.140
_cell_length_b 3.140
_cell_length_c 9.132
_cell_angle_alpha 90.00
_cell_angle_beta 90.00
_cell_angle_gamma 90.00
loop_
_atom_site_label
_atom_site_type_symbol
_atom_site_fract_x
_atom_site_fract_y
_atom_site_fract_z
Re1 Re 0.000 0.000 0.000
Si1 Si 0.500 0.500 0.153
Te1 Te 0.000 0.000 0.442
Te2 Te 0.500 0.500 0.816
```

Calculated values
Uncorrected formation energy, meV/atom: 331
Space-group type: P4mm
E_tot, eV per atom: -5.71

---

Compound: ReSi2Te2
Source: the Alexandria database
Functional: PBE-GGA
Structure: relaxed

The structure in CIF format:
```
data_ReSi2Te2
_symmetry_space_group_name_H-M 'P 1'
_symmetry_Int_Tables_number 1
_symmetry_space_group_name_Hall 'P 1'
_cell_length_a 6.510
_cell_length_b 6.510
_cell_length_c 4.606
_cell_angle_alpha 90.00
_cell_angle_beta 90.00
_cell_angle_gamma 90.00
loop_
_atom_site_label
_atom_site_type_symbol
_atom_site_fract_x
_atom_site_fract_y
_atom_site_fract_z
Re1 Re 0.000 0.000 0.000
Re2 Re 0.500 0.500 0.000
Si1 Si 0.135 0.365 0.000
Si2 Si 0.365 0.865 0.000
Si3 Si 0.635 0.135 0.000
Si4 Si 0.865 0.635 0.000
Te1 Te 0.194 0.694 0.500
Te2 Te 0.306 0.194 0.500
Te3 Te 0.694 0.806 0.500
Te4 Te 0.806 0.306 0.500
```

Calculated values
Uncorrected formation energy, meV/atom: 608
Space-group type: P4/mbm
E_tot, eV per atom: -5.31
Energy above the lowest structure with this stoichiometry, meV per atom: 0